Here is a relaxed Y2CoNO3 crystal from OQMD via LeMat-Bulk. Energies are from PBE with a Hubbard U.

a = 6.622 Å, b = 6.622 Å, c = 5.142 Å
α = 90.00°, β = 90.00°, γ = 47.13°
Site moments in Bohr magnetons follow the coordinates.
Atoms (fractional coordinates):
Co1 0.238 0.762 0.250  2.04
Co2 0.762 0.238 0.750  2.04
N1 0.000 0.000 0.000  0.10
N2 0.000 0.000 0.500  0.12
O1 0.500 0.500 0.000  0.05
O2 0.116 0.519 0.250  0.05
O3 0.481 0.884 0.250  0.05
O4 0.500 0.500 0.500  0.04
O5 0.519 0.116 0.750  0.05
O6 0.884 0.481 0.750  0.05
Y1 0.596 0.127 0.250  0.03
Y2 0.873 0.404 0.250  0.02
Y3 0.127 0.596 0.750  0.02
Y4 0.404 0.873 0.750  0.03

Properties
Size of the total moment: 2.4 μB per formula unit
E: -7.987 eV per atom